(1)
Below is a relaxed Sb2Se3N2 crystal, with properties calculated at the PBE level.

Results
The formation energy from raw total energies is 2.6 eV per formula unit. As for the total energy: -4.68 eV per atom. Its crystal system is triclinic.

abc: 6.9447 9.9361 11.6482
angles: 35.92 143.24 112.63
Fractional coordinates of all 7 atoms:
Se 0.5421 0.5552 0.7354
Sb 0.4288 0.9328 0.8758
Sb 0.5712 0.0672 0.1242
N 0.0266 0.2944 0.5793
Se 0.4579 0.4448 0.2646
N 0.9734 0.7056 0.4207
Se 0.0000 0.0000 0.0000

---

(2)
Below is a relaxed SbSe2N crystal, with properties calculated at the PBE level.

Results
The calculation puts the density of states at the Fermi level at 2.99 states/eV per cell. The formation energy from raw total energies is 2.3 eV per formula unit. As for the total energy: -4.29 eV per atom. Its crystal system is monoclinic.

abc: 3.7931 16.8759 3.4174
angles: 98.93 90.00 96.45
Fractional coordinates of all 8 atoms:
Se 0.0594 0.1188 0.3587
Se 0.9406 0.8812 0.6413
N 0.6466 0.2931 0.9918
Se 0.2389 0.4778 0.7095
Se 0.7611 0.5222 0.2905
N 0.3534 0.7069 0.0082
Sb 0.3853 0.7706 0.5569
Sb 0.6147 0.2294 0.4431

---

(3)
Below is a relaxed SbSeN crystal, with properties calculated at the PBE level.

Results
The calculation puts the density of states at the Fermi level at 2.48 states/eV per cell. The formation energy from raw total energies is 1.0 eV per formula unit. As for the total energy: -4.97 eV per atom. Its crystal system is tetragonal.

abc: 3.7915 3.7915 9.6543
angles: 90.00 90.00 90.00
Fractional coordinates of all 6 atoms:
Sb 0.5000 0.0000 0.1121
Se 0.5000 0.0000 0.5336
N 0.0000 0.0000 0.0000
Se 0.0000 0.5000 0.4664
Sb 0.0000 0.5000 0.8879
N 0.5000 0.5000 0.0000

---

(4)
Below is a relaxed SbSeN crystal, with properties calculated at the PBE level.

Results
The formation energy from raw total energies is -0.3 eV per formula unit. As for the total energy: -5.40 eV per atom. Its crystal system is monoclinic.

abc: 5.0364 9.1351 10.0445
angles: 92.68 90.00 90.00
Fractional coordinates of all 12 atoms:
Sb 0.6747 0.8999 0.4192
Sb 0.3253 0.1001 0.5808
Sb 0.8253 0.3999 0.4192
N 0.9865 0.4639 0.0426
Sb 0.1747 0.6001 0.5808
N 0.4865 0.0361 0.9574
Se 0.6864 0.3052 0.6471
N 0.0135 0.5361 0.9574
Se 0.1864 0.1948 0.3529
Se 0.3136 0.6948 0.3529
Se 0.8136 0.8052 0.6471
N 0.5135 0.9639 0.0426

---

(5)
Below is a relaxed Sb2SeN crystal, with properties calculated at the PBE level.

Results
The calculation puts the density of states at the Fermi level at 1.56 states/eV per cell. The formation energy from raw total energies is 4.0 eV per formula unit. As for the total energy: -4.01 eV per atom. Its crystal system is cubic.

abc: 4.7972 4.7972 4.7972
angles: 60.00 60.00 60.00
Fractional coordinates of all 4 atoms:
N 0.0000 0.0000 0.0000
Sb 0.7500 0.7500 0.7500
Se 0.5000 0.5000 0.5000
Sb 0.2500 0.2500 0.2500

---

(6)
Below is a relaxed SbSe2N crystal, with properties calculated at the PBE level.

Results
The calculation puts the density of states at the Fermi level at 4.73 states/eV per cell. The formation energy from raw total energies is 3.4 eV per formula unit. As for the total energy: -4.00 eV per atom. Its crystal system is tetragonal.

abc: 6.4915 6.4915 6.1563
angles: 58.18 58.18 90.00
Fractional coordinates of all 8 atoms:
N 0.2500 0.7500 0.5000
Sb 0.7500 0.2500 0.5000
Se 0.3750 0.4644 0.7500
Se 0.8750 0.7856 0.7500
Sb 0.0000 0.0000 0.0000
N 0.5000 0.5000 0.0000
Se 0.2144 0.6250 0.2500
Se 0.5356 0.1250 0.2500

---

(7)
Below is a relaxed SbSe2N2 crystal, with properties calculated at the PBE level.

Results
The calculation puts the density of states at the Fermi level at 2.63 states/eV per cell. The formation energy from raw total energies is 7.3 eV per formula unit. As for the total energy: -4.08 eV per atom. Its crystal system is tetragonal.

abc: 4.0098 4.0098 5.1587
angles: 90.00 90.00 90.00
Fractional coordinates of all 5 atoms:
N 0.5000 0.0000 0.0000
Sb 0.5000 0.5000 0.5000
Se 0.0000 0.0000 0.5000
Se 0.0000 0.0000 0.0000
N 0.0000 0.5000 0.0000

---

(8)
Below is a relaxed SbSeN3 crystal, with properties calculated at the PBE level.

Results
The calculation puts the density of states at the Fermi level at 3.87 states/eV per cell. The formation energy from raw total energies is 9.2 eV per formula unit. As for the total energy: -4.68 eV per atom. Its crystal system is cubic.

abc: 4.0306 4.0306 4.0306
angles: 90.00 90.00 90.00
Fractional coordinates of all 5 atoms:
N 0.5000 0.0000 0.0000
Se 0.5000 0.5000 0.5000
N 0.0000 0.0000 0.5000
N 0.0000 0.5000 0.0000
Sb 0.0000 0.0000 0.0000

---

(9)
Below is a relaxed SbSe2N2 crystal, with properties calculated at the PBE level.

Results
The calculation puts the density of states at the Fermi level at 3.15 states/eV per cell. The formation energy from raw total energies is 6.4 eV per formula unit. As for the total energy: -4.27 eV per atom. Its crystal system is tetragonal.

abc: 3.9398 3.9398 6.6431
angles: 90.00 90.00 90.00
Fractional coordinates of all 5 atoms:
Se 0.5000 0.5000 0.5000
Sb 0.0000 0.0000 0.0000
N 0.5000 0.0000 0.0000
N 0.0000 0.5000 0.0000
Se 0.0000 0.0000 0.5000

---

(10)
Below is a relaxed SbSe2N2 crystal, with properties calculated at the PBE level.

Results
The calculation puts the density of states at the Fermi level at 5.18 states/eV per cell. The formation energy from raw total energies is 2.1 eV per formula unit. As for the total energy: -5.13 eV per atom. Its crystal system is tetragonal.

abc: 5.0208 5.0208 5.2402
angles: 61.38 61.38 90.00
Fractional coordinates of all 5 atoms:
Sb 0.0000 0.0000 0.0000
Se 0.7500 0.2500 0.5000
N 0.4269 0.4269 0.1462
N 0.5731 0.5731 0.8538
Se 0.2500 0.7500 0.5000

---

(11)
Below is a relaxed SbSe2N2 crystal, with properties calculated at the PBE level.

Results
The calculation puts the density of states at the Fermi level at 2.18 states/eV per cell. The formation energy from raw total energies is 7.6 eV per formula unit. As for the total energy: -4.03 eV per atom. Its crystal system is tetragonal.

abc: 4.2601 4.2601 4.3140
angles: 90.00 90.00 90.00
Fractional coordinates of all 5 atoms:
Se 0.0000 0.5000 0.0000
Sb 0.5000 0.5000 0.5000
N 0.0000 0.0000 0.5000
Se 0.5000 0.0000 0.0000
N 0.0000 0.0000 0.0000

---

(12)
Below is a relaxed SbSe2N2 crystal, with properties calculated at the PBE level.

Results
The calculation puts the density of states at the Fermi level at 5.75 states/eV per cell. The formation energy from raw total energies is 9.8 eV per formula unit. As for the total energy: -3.58 eV per atom. Its crystal system is tetragonal.

abc: 5.4028 5.4028 4.0875
angles: 90.00 90.00 90.00
Fractional coordinates of all 5 atoms:
Sb 0.0000 0.0000 0.0000
Se 0.5000 0.0000 0.0000
N 0.5000 0.5000 0.5000
N 0.0000 0.0000 0.5000
Se 0.0000 0.5000 0.0000

---

(13)
Below is a relaxed SbSe2N2 crystal, with properties calculated at the PBE level.

Results
The calculation puts the density of states at the Fermi level at 1.55 states/eV per cell. The formation energy from raw total energies is -0.5 eV per formula unit. As for the total energy: -5.64 eV per atom. Its crystal system is monoclinic.

abc: 3.8789 3.8835 11.7166
angles: 91.72 90.00 119.96
Fractional coordinates of all 5 atoms:
N 0.0561 0.1123 0.5360
Se 0.3246 0.6493 0.8571
Se 0.6754 0.3507 0.1429
N 0.9439 0.8877 0.4640
Sb 0.0000 0.0000 0.0000

---

(14)
Below is a relaxed SbSe2N crystal, with properties calculated at the PBE level.

Results
The calculation puts the density of states at the Fermi level at 2.50 states/eV per cell. The formation energy from raw total energies is 2.8 eV per formula unit. As for the total energy: -4.15 eV per atom. Its crystal system is trigonal.

abc: 7.7430 7.7430 7.7430
angles: 29.83 29.83 29.83
Fractional coordinates of all 4 atoms:
Se 0.9206 0.9206 0.9206
Sb 0.5000 0.5000 0.5000
N 0.0000 0.0000 0.0000
Se 0.0794 0.0794 0.0794

---

(15)
Below is a relaxed SbSe2N2 crystal, with properties calculated at the PBE level.

Results
The calculation puts the density of states at the Fermi level at 3.84 states/eV per cell. The formation energy from raw total energies is 5.0 eV per formula unit. As for the total energy: -4.54 eV per atom. Its crystal system is tetragonal.

abc: 7.0342 7.0342 3.5468
angles: 90.00 90.00 90.00
Fractional coordinates of all 10 atoms:
Se 0.8613 0.3613 0.5000
Se 0.1387 0.6387 0.5000
Se 0.6387 0.8613 0.5000
N 0.7680 0.2680 0.0000
Sb 0.5000 0.5000 0.0000
N 0.7320 0.7680 0.0000
Se 0.3613 0.1387 0.5000
N 0.2680 0.2320 0.0000
N 0.2320 0.7320 0.0000
Sb 0.0000 0.0000 0.0000

---

(16)
Below is a relaxed Sm3SbSeN crystal, with properties calculated at the PBE level.

Results
The calculation puts the density of states at the Fermi level at 4.93 states/eV per cell. The formation energy from raw total energies is -8.3 eV per formula unit. As for the total energy: -6.41 eV per atom. Its crystal system is monoclinic.

abc: 4.1881 8.8342 9.3025
angles: 99.83 90.00 90.00
Fractional coordinates of all 12 atoms:
Sm 0.2500 0.1049 0.8400
Sm 0.7500 0.4092 0.1537
Sm 0.7500 0.8951 0.1600
Sm 0.2500 0.8425 0.4898
N 0.7500 0.9078 0.4009
N 0.2500 0.0922 0.5991
Se 0.7500 0.3511 0.8381
Sb 0.2500 0.1718 0.2096
Sm 0.2500 0.5908 0.8463
Se 0.2500 0.6489 0.1619
Sm 0.7500 0.1575 0.5102
Sb 0.7500 0.8282 0.7904

---

(17)
Below is a relaxed Sm4Sb2SeN2 crystal, with properties calculated at the PBE level.

Results
The calculation puts the density of states at the Fermi level at 1.22 states/eV per cell. The formation energy from raw total energies is -11.7 eV per formula unit. As for the total energy: -6.55 eV per atom. Its crystal system is monoclinic.

abc: 4.1538 8.4662 8.2087
angles: 117.29 104.66 90.00
Fractional coordinates of all 9 atoms:
Sb 0.8981 0.4470 0.7962
Sm 0.5256 0.7775 0.0512
Sm 0.2254 0.1372 0.4508
Se 0.0000 0.0000 0.0000
Sm 0.4744 0.2225 0.9488
N 0.6770 0.9889 0.3540
Sb 0.1019 0.5530 0.2038
N 0.3230 0.0111 0.6460
Sm 0.7746 0.8628 0.5492

---

(18)
Below is a relaxed SnSbSe2N crystal, with properties calculated at the PBE level.

Results
The calculation puts the density of states at the Fermi level at 2.86 states/eV per cell. The formation energy from raw total energies is 2.6 eV per formula unit. As for the total energy: -4.17 eV per atom. Its crystal system is tetragonal.

abc: 5.4291 5.4291 3.9574
angles: 90.00 90.00 90.00
Fractional coordinates of all 5 atoms:
Sn 0.5000 0.5000 0.5000
Se 0.5000 0.0000 0.0000
Se 0.0000 0.5000 0.0000
Sb 0.0000 0.0000 0.0000
N 0.0000 0.0000 0.5000

---

(19)
Below is a relaxed SnSbSe2N crystal, with properties calculated at the PBE level.

Results
The calculation puts the density of states at the Fermi level at 5.62 states/eV per cell. The formation energy from raw total energies is 3.4 eV per formula unit. As for the total energy: -4.01 eV per atom. Its crystal system is tetragonal.

abc: 5.4247 5.4247 3.9347
angles: 90.00 90.00 90.00
Fractional coordinates of all 5 atoms:
Se 0.0000 0.5000 0.0000
Sn 0.0000 0.0000 0.0000
Se 0.5000 0.0000 0.0000
N 0.0000 0.0000 0.5000
Sb 0.5000 0.5000 0.5000

---

(20)
Below is a relaxed SrSbSeN2 crystal, with properties calculated at the PBE level.

Results
The calculation puts the density of states at the Fermi level at 1.81 states/eV per cell. The formation energy from raw total energies is 6.7 eV per formula unit. As for the total energy: -3.85 eV per atom. Its crystal system is tetragonal.

abc: 4.7425 4.7425 6.0866
angles: 90.00 90.00 90.00
Fractional coordinates of all 5 atoms:
N 0.0000 0.5000 0.0000
Se 0.0000 0.0000 0.5000
Sr 0.0000 0.0000 0.0000
Sb 0.5000 0.5000 0.5000
N 0.5000 0.0000 0.0000